{
  "formula": "HfWIO2",
  "functional": "GGA+U",
  "state": "relaxed",
  "total_magnetization_mub_per_fu": 3.7,
  "relative_energy_ev_per_fu": 3.37,
  "lattice": [[3.953, 0.000, 0.000], [0.000, 3.953, 0.000], [0.000, 0.000, 8.127]],
  "species": ["Hf", "W", "O", "O", "I"],
  "fractional_positions": [[0.500, 0.500, 0.500], [0.000, 0.000, 0.000], [0.500, 0.000, 0.000], [0.000, 0.500, 0.000], [0.000, 0.000, 0.500]]
}